! Sc2ZnAg, optimized geometry, DFT PBEsol; values from VASP
&SYSTEM
  ibrav = 0, nat = 4, ntyp = 3
/
ATOMIC_SPECIES
Sc 44.96 Sc.upf
Zn 65.41 Zn.upf
Ag 107.87 Ag.upf
CELL_PARAMETERS angstrom
3.3411 0.0000 0.0000
0.0000 4.7239 0.0000
0.0000 0.0000 4.7245
ATOMIC_POSITIONS angstrom
Sc 0.0000 0.0000 0.5825
Sc 0.0000 2.3620 2.9608
Zn 1.6705 0.0000 2.9359
Ag 1.6705 2.3620 0.6075
! E	-4.87	eV/atom
! space-group type	Pmm2, No. 25
! crystal system	orthorhombic